Material: Nd2IrAu
Method: DFT, PBE
State: relaxed

Properties
raw total energy	-24.4	eV/f.u.

```
Nd2IrAu
1.0
5.140 -0.007 0.008
2.561 4.424 0.025
-0.006 2.948 4.210
Nd Au Ir
2 1 1
direct
0.000 0.000 0.000
0.500 0.000 0.500
0.750 0.500 0.250
0.250 0.500 0.750
```

---

Material: Nd6Pt2Rh
Method: DFT, PBE
State: relaxed

Properties
raw total energy	-54.2	eV/f.u.

```
Nd6Pt2Rh
1.0
6.821 0.000 0.128
0.000 7.473 0.000
0.558 0.000 10.466
Nd Rh Pt
12 2 4
direct
0.340 0.546 0.253
0.330 0.816 0.569
0.670 0.184 0.431
0.160 0.046 0.247
0.325 0.824 0.923
0.830 0.684 0.069
0.660 0.454 0.747
0.675 0.176 0.077
0.170 0.316 0.931
0.175 0.324 0.577
0.840 0.954 0.753
0.825 0.676 0.423
0.000 0.000 0.500
0.500 0.500 0.000
0.056 0.614 0.771
0.444 0.114 0.729
0.944 0.386 0.229
0.556 0.886 0.271
```

---

Material: SrY3Sc
Method: DFT, PBE
State: relaxed

Properties
raw total energy	-25.2	eV/f.u.

```
SrY3Sc
1.0
-1.374 -2.948 -4.738
-2.141 -4.227 3.252
-5.153 2.543 -0.088
Y Sc Sr
3 1 1
direct
0.000 0.000 0.500
0.000 0.500 0.000
0.500 0.000 0.000
0.000 0.000 0.000
0.500 0.500 0.500
```